Run 1
# CrGeI3, optimized geometry, DFT PBE
# Volume: 194.1 Å³/f.u.
# Total magnetization: 5.0 μB/f.u.
data_CrGeI3
_space_group_name_H-M_alt 'P m -3 m'
_space_group_IT_number 221
_space_group_name_Hall '-P 4 2 3'
_cell_length_a 5.790
_cell_length_b 5.790
_cell_length_c 5.790
_cell_angle_alpha 90.00
_cell_angle_beta 90.00
_cell_angle_gamma 90.00
loop_
_atom_site_label
_atom_site_type_symbol
_atom_site_fract_x
_atom_site_fract_y
_atom_site_fract_z
_atom_site_occupancy
Cr1 Cr 0.000 0.000 0.000 1
Ge1 Ge 0.500 0.500 0.500 1
I1 I 0.000 0.500 0.500 1

=====

Run 2
# CrGeI3, optimized geometry, DFT PBE
# Volume: 169.3 Å³/f.u.
# Total magnetization: 5.0 μB/f.u.
data_CrGeI3
_space_group_name_H-M_alt 'P m -3 m'
_space_group_IT_number 221
_space_group_name_Hall '-P 4 2 3'
_cell_length_a 5.532
_cell_length_b 5.532
_cell_length_c 5.532
_cell_angle_alpha 90.00
_cell_angle_beta 90.00
_cell_angle_gamma 90.00
loop_
_atom_site_label
_atom_site_type_symbol
_atom_site_fract_x
_atom_site_fract_y
_atom_site_fract_z
_atom_site_occupancy
Cr1 Cr 0.000 0.000 0.000 1
Ge1 Ge 0.500 0.500 0.500 1
I1 I 0.000 0.000 0.500 1

=====

Unit: eV/atom. Relative energies: run 1 0.108; run 2 0.000.